La6CdRu2 | GGA-PBE | optimized geometry

abc: 5.907 5.907 9.344
angles: 99.54 99.54 54.62
Atoms (fractional coordinates):
1 La 0.040 0.040 0.352
2 La 0.296 0.296 0.661
3 La 0.342 0.342 0.125
4 La 0.658 0.658 0.875
5 La 0.704 0.704 0.339
6 La 0.960 0.960 0.648
7 Cd 0.000 0.000 0.000
8 Ru 0.382 0.382 0.397
9 Ru 0.618 0.618 0.603

Properties
relative energy among the computed polymorphs: 0 kJ/mol of formula units
E_tot: -51.482 eV per cell
crystal system: monoclinic
total magnetic moment: 0.00 μB per formula unit



ZrScCd2 | GGA-PBE | optimized geometry

abc: 6.396 6.396 6.396
angles: 101.98 101.98 125.79
Atoms (fractional coordinates):
1 Zr 0.000 0.000 0.000
2 Zr 0.750 0.250 0.500
3 Sc 0.250 0.750 0.500
4 Sc 0.500 0.500 0.000
5 Cd 0.127 0.625 0.002
6 Cd 0.375 0.377 0.502
7 Cd 0.623 0.125 0.998
8 Cd 0.875 0.873 0.498

Properties
relative energy among the computed polymorphs: 162 kJ/mol of formula units
E_tot: -31.466 eV per cell
crystal system: tetragonal
total magnetic moment: 0.00 μB per formula unit



LaTcAs2Ru | GGA-PBE | optimized geometry

abc: 6.036 6.036 6.036
angles: 138.29 138.29 60.46
Atoms (fractional coordinates):
1 La 0.000 0.000 0.000
2 Tc 0.750 0.250 0.500
3 As 0.364 0.364 0.000
4 As 0.636 0.636 0.000
5 Ru 0.250 0.750 0.500

Properties
E_tot: -37.493 eV per cell
crystal system: tetragonal
total magnetic moment: 0.00 μB per formula unit



Number 1: DFT formation energy -0.27 eV per atom. Number 2: DFT formation energy 0.24 eV per atom. Number 3: DFT formation energy -0.73 eV per atom.